VASP calculation (PBE) on a relaxed Ta3BO crystal.

Summary:
Calculated volume = 70 Å³/cell
Relative energy among the computed polymorphs = 0.0 kJ/mol of formula units
DOS at the Fermi energy = 5.1 states/eV/f.u.
Formation energy (no corrections) = 0.035 eV per atom

```
data_Ta3BO
_chemical_formula_sum 'Ta3 B1 O1'
_cell_length_a 4.128
_cell_length_b 4.128
_cell_length_c 4.128
_cell_angle_alpha 90.00
_cell_angle_beta 90.00
_cell_angle_gamma 90.00
_space_group_name_H-M_alt 'P m -3 m'
_space_group_IT_number 221
_space_group_name_Hall '-P 4 2 3'
loop_
_atom_site_label
_atom_site_type_symbol
_atom_site_fract_x
_atom_site_fract_y
_atom_site_fract_z
Ta1 Ta 0.000 0.000 0.500
B1 B 0.500 0.500 0.500
O1 O 0.000 0.000 0.000
```

***

VASP calculation (PBE) on a relaxed La3PrHo6Er2 crystal.

Summary:
Calculated volume = 784 Å³/cell
Energy of formation from the pure elements = 0.022 eV per atom
DOS at the Fermi energy = 15.8 states/eV/f.u.

```
data_La3PrHo6Er2
_chemical_formula_sum 'La6 Pr2 Ho12 Er4'
_cell_length_a 6.228
_cell_length_b 10.787
_cell_length_c 11.855
_cell_angle_alpha 90.00
_cell_angle_beta 100.08
_cell_angle_gamma 90.00
_space_group_name_H-M_alt 'C 1 2/m 1'
_space_group_IT_number 12
loop_
_space_group_symop_operation_xyz
'x,y,z'
'-x,-y,-z'
'-x,y,-z'
'x,-y,z'
'x+1/2,y+1/2,z'
'-x+1/2,-y+1/2,-z'
'-x+1/2,y+1/2,-z'
'x+1/2,-y+1/2,z'
loop_
_atom_site_label
_atom_site_type_symbol
_atom_site_fract_x
_atom_site_fract_y
_atom_site_fract_z
La1 La 0.000 0.000 0.000
La2 La 0.000 0.333 0.000
Pr1 Pr 0.000 0.500 0.500
Ho1 Ho 0.247 0.000 0.746
Ho2 Ho 0.249 0.333 0.746
Er1 Er 0.000 0.167 0.500
```

***

VASP calculation (PBE) on a relaxed CaAc5Tl2Co crystal.

Summary:
Calculated volume = 1328 Å³/cell
Energy of formation from the pure elements = -0.083 eV per atom
DOS at the Fermi energy = 10.0 states/eV/f.u.

```
data_CaAc5Tl2Co
_chemical_formula_sum 'Ca4 Ac20 Tl8 Co4'
_cell_length_a 4.020
_cell_length_b 22.327
_cell_length_c 14.791
_cell_angle_alpha 90.00
_cell_angle_beta 90.00
_cell_angle_gamma 90.00
_space_group_name_H-M_alt 'C m c 21'
_space_group_IT_number 36
loop_
_space_group_symop_operation_xyz
'x,y,z'
'-x,-y,z+1/2'
'-x,y,z'
'x,-y,z+1/2'
'x+1/2,y+1/2,z'
'-x+1/2,-y+1/2,z+1/2'
'-x+1/2,y+1/2,z'
'x+1/2,-y+1/2,z+1/2'
loop_
_atom_site_label
_atom_site_type_symbol
_atom_site_fract_x
_atom_site_fract_y
_atom_site_fract_z
Ca1 Ca 0.000 0.016 0.000
Ac1 Ac 0.000 0.004 0.269
Ac2 Ac 0.000 0.137 0.604
Ac3 Ac 0.000 0.227 0.990
Ac4 Ac 0.000 0.243 0.267
Ac5 Ac 0.000 0.381 0.652
Tl1 Tl 0.000 0.387 0.900
Tl2 Tl 0.000 0.390 0.362
Co1 Co 0.000 0.259 0.627
```

***

VASP calculation (PBE) on a relaxed B2C crystal.

Summary:
Calculated volume = 81 Å³/cell
Energy of formation from the pure elements = 0.402 eV per atom
Relative energy among the computed polymorphs = 62.8 kJ/mol of formula units
DOS at the Fermi energy = 0.4 states/eV/f.u.

```
data_B2C
_chemical_formula_sum 'B8 C4'
_cell_length_a 4.679
_cell_length_b 2.566
_cell_length_c 6.730
_cell_angle_alpha 90.00
_cell_angle_beta 91.06
_cell_angle_gamma 90.00
_space_group_name_H-M_alt 'P 1 21/m 1'
_space_group_IT_number 11
loop_
_space_group_symop_operation_xyz
'x,y,z'
'-x,-y,-z'
'-x,y+1/2,-z'
'x,-y+1/2,z'
loop_
_atom_site_label
_atom_site_type_symbol
_atom_site_fract_x
_atom_site_fract_y
_atom_site_fract_z
B1 B 0.057 0.250 0.358
B2 B 0.355 0.250 0.828
B3 B 0.357 0.250 0.179
B4 B 0.380 0.250 0.484
C1 C 0.091 0.250 0.010
C2 C 0.131 0.250 0.643
```

***

VASP calculation (PBE) on a relaxed Na6Ge2S7 crystal.

Summary:
Calculated volume = 1426 Å³/cell
DOS at the Fermi energy = 0.0 states/eV/f.u.
Formation energy (no corrections) = -0.927 eV per atom

```
data_Na6Ge2S7
_chemical_formula_sum 'Na24 Ge8 S28'
_cell_length_a 9.211
_cell_length_b 10.536
_cell_length_c 15.194
_cell_angle_alpha 90.00
_cell_angle_beta 104.75
_cell_angle_gamma 90.00
_space_group_name_H-M_alt 'C 1 2/c 1'
_space_group_IT_number 15
loop_
_space_group_symop_operation_xyz
'x,y,z'
'-x,-y,-z'
'-x,y,-z+1/2'
'x,-y,z+1/2'
'x+1/2,y+1/2,z'
'-x+1/2,-y+1/2,-z'
'-x+1/2,y+1/2,-z+1/2'
'x+1/2,-y+1/2,z+1/2'
loop_
_atom_site_label
_atom_site_type_symbol
_atom_site_fract_x
_atom_site_fract_y
_atom_site_fract_z
Na1 Na 0.000 0.000 0.000
Na2 Na 0.000 0.078 0.250
Na3 Na 0.113 0.354 0.573
Na4 Na 0.235 0.223 0.862
Ge1 Ge 0.158 0.418 0.360
S1 S 0.000 0.462 0.750
S2 S 0.054 0.242 0.395
S3 S 0.133 0.126 0.680
S4 S 0.198 0.437 0.971
```

***

VASP calculation (PBE) on a relaxed BaOsCl crystal.

Summary:
Calculated volume = 77 Å³/cell
Relative energy among the computed polymorphs = 3.5 kJ/mol of formula units
DOS at the Fermi energy = 4.2 states/eV/f.u.
Formation energy (no corrections) = 0.608 eV per atom

```
data_BaOsCl
_chemical_formula_sum 'Ba1 Os1 Cl1'
_cell_length_a 5.0923
_cell_length_b 5.0923
_cell_length_c 3.4141
_cell_angle_alpha 90.00
_cell_angle_beta 90.00
_cell_angle_gamma 120.00
_space_group_name_H-M_alt 'P -6 m 2'
_space_group_IT_number 187
_space_group_name_Hall 'P -6 2'
loop_
_atom_site_label
_atom_site_type_symbol
_atom_site_fract_x
_atom_site_fract_y
_atom_site_fract_z
Ba1 Ba 0.0000 0.0000 0.0000
Os1 Os 0.3333 0.6667 0.5000
Cl1 Cl 0.6667 0.3333 0.5000
```

***

VASP calculation (PBE) on a relaxed Ho2Zn12Au7 crystal.

Summary:
Calculated volume = 387 Å³/cell
Energy of formation from the pure elements = -0.326 eV per atom
DOS at the Fermi energy = 6.1 states/eV/f.u.

```
data_Ho2Zn12Au7
_chemical_formula_sum 'Ho2 Zn12 Au7'
_cell_length_a 10.4914
_cell_length_b 10.4914
_cell_length_c 4.0604
_cell_angle_alpha 90.00
_cell_angle_beta 90.00
_cell_angle_gamma 120.00
_space_group_name_H-M_alt 'P -3'
_space_group_IT_number 147
loop_
_space_group_symop_operation_xyz
'x,y,z'
'-x,-y,-z'
'-y,x-y,z'
'y,-x+y,-z'
'-x+y,-x,z'
'x-y,x,-z'
loop_
_atom_site_label
_atom_site_type_symbol
_atom_site_fract_x
_atom_site_fract_y
_atom_site_fract_z
Ho1 Ho 0.3333 0.6667 0.2482
Zn1 Zn 0.0381 0.4308 0.7505
Zn2 Zn 0.1085 0.2645 0.2423
Au1 Au 0.0000 0.0000 0.5000
Au2 Au 0.1411 0.7169 0.7489
```

***

VASP calculation (PBE) on a relaxed NiRh2Au crystal.

Summary:
Calculated volume = 58 Å³/cell
Energy of formation from the pure elements = 0.134 eV per atom
Relative energy among the computed polymorphs = 14.1 kJ/mol of formula units
DOS at the Fermi energy = 4.9 states/eV/f.u.

```
data_NiRh2Au
_chemical_formula_sum 'Ni1 Rh2 Au1'
_cell_length_a 2.757
_cell_length_b 2.757
_cell_length_c 7.576
_cell_angle_alpha 90.00
_cell_angle_beta 90.00
_cell_angle_gamma 90.00
_space_group_name_H-M_alt 'P 4/m m m'
_space_group_IT_number 123
_space_group_name_Hall '-P 4 2'
loop_
_atom_site_label
_atom_site_type_symbol
_atom_site_fract_x
_atom_site_fract_y
_atom_site_fract_z
Ni1 Ni 0.000 0.000 0.000
Rh1 Rh 0.500 0.500 0.219
Au1 Au 0.000 0.000 0.500
```